i) VASP calculation (PBE-GGA) on crystalline AcPrZnRh at its relaxed geometry.

Lattice parameters (Å, degrees): 5.264 5.264 5.264 60.00 60.00 60.00
Atoms (fractional coordinates):
Ac  0.750  0.750  0.750
Zn  0.500  0.500  0.500
Rh  0.000  0.000  0.000
Pr  0.250  0.250  0.250

Results
Its space-group type is No. 216. The density of states at the Fermi level comes out at 2.32 states/eV/cell. The value obtained for the total magnetization is 0.0 μB per cell. For the volume, the calculation gives 25.786 Å³/atom. The mass density is 8.6 g cm⁻³.

---

ii) VASP calculation (PBE-GGA) on crystalline AcPrZnRh at its relaxed geometry.

Lattice parameters (Å, degrees): 4.220 4.598 5.916 90.00 110.89 90.00
Atoms (fractional coordinates):
Ac  0.143  0.000  0.285
Pr  0.863  0.500  0.726
Zn  0.564  0.500  0.127
Rh  0.431  0.000  0.862

Results
Its space-group type is No. 38. The density of states at the Fermi level comes out at 3.69 states/eV/cell. The value obtained for the total magnetization is 0.0 μB per cell. For the volume, the calculation gives 26.815 Å³/atom. The mass density is 8.3 g cm⁻³.

---

ii) ends up most stable, edging out the next structure by 60 meV/atom.

---

i) VASP calculation (PBE-GGA) on crystalline Ac2PrRu at its relaxed geometry.

Lattice parameters (Å, degrees): 5.722 8.562 7.059 107.65 113.91 90.00
Atoms (fractional coordinates):
Ac  0.163  0.082  0.326
Ru  0.000  0.250  0.000
Ac  0.837  0.418  0.674
Ac  0.837  0.918  0.674
Pr  0.500  0.250  0.000
Ru  0.000  0.750  0.000
Pr  0.500  0.750  0.000
Ac  0.163  0.582  0.326

Results
Its space-group type is No. 71. The density of states at the Fermi level comes out at 8.15 states/eV/cell. The value obtained for the total magnetization is 0.0 μB per cell. For the volume, the calculation gives 37.280 Å³/atom. The mass density is 7.8 g cm⁻³.

---

ii) VASP calculation (PBE-GGA) on crystalline Ac2PrRu at its relaxed geometry.

Lattice parameters (Å, degrees): 3.719 3.719 9.691 90.00 90.00 90.00
Atoms (fractional coordinates):
Ac  0.000  0.000  0.815
Ac  0.000  0.000  0.185
Ru  0.500  0.500  0.000
Pr  0.500  0.500  0.500

Results
Its space-group type is No. 123. The density of states at the Fermi level comes out at 5.48 states/eV/cell. The value obtained for the total magnetization is 0.0 μB per cell. For the volume, the calculation gives 33.516 Å³/atom. The mass density is 8.6 g cm⁻³.

---

i) ends up most stable, edging out the next structure by 188 meV/atom.

---

i) VASP calculation (PBE-GGA) on crystalline Ac2PrRu at its relaxed geometry.

Lattice parameters (Å, degrees): 4.110 6.867 10.172 90.00 90.00 107.38
Atoms (fractional coordinates):
Ac  0.358  0.716  0.071
Pr  0.095  0.189  0.250
Ac  0.642  0.284  0.929
Pr  0.905  0.811  0.750
Ac  0.642  0.284  0.571
Ru  0.253  0.505  0.750
Ru  0.747  0.495  0.250
Ac  0.358  0.716  0.429

Results
Its space-group type is No. 11. The density of states at the Fermi level comes out at 8.57 states/eV/cell. The value obtained for the total magnetization is 0.0 μB per cell. For the volume, the calculation gives 34.247 Å³/atom. The mass density is 8.4 g cm⁻³.

---

ii) VASP calculation (PBE-GGA) on crystalline Ac2PrRu at its relaxed geometry.

Lattice parameters (Å, degrees): 4.111 4.111 10.104 78.26 78.26 60.00
Atoms (fractional coordinates):
Pr  0.500  0.500  0.500
Ac  0.276  0.276  0.171
Ac  0.724  0.724  0.829
Ru  0.000  0.000  0.000

Results
Its space-group type is No. 166. The density of states at the Fermi level comes out at 4.30 states/eV/cell. The value obtained for the total magnetization is 0.0 μB per cell. For the volume, the calculation gives 35.943 Å³/atom. The mass density is 8.0 g cm⁻³.

---

i) ends up most stable, edging out the next structure by 133 meV/atom.

---

i) VASP calculation (PBE-GGA) on crystalline Ac3PrRu at its relaxed geometry.

Lattice parameters (Å, degrees): 7.210 11.321 10.352 115.71 90.00 90.00
Atoms (fractional coordinates):
Ac  0.620  0.256  0.353
Pr  0.848  0.593  0.593
Pr  0.652  0.093  0.593
Ac  0.927  0.957  0.794
Ac  0.120  0.244  0.647
Pr  0.152  0.407  0.407
Pr  0.348  0.907  0.407
Ac  0.073  0.043  0.206
Ac  0.094  0.639  0.945
Ru  0.771  0.124  0.080
Ru  0.729  0.624  0.080
Ac  0.427  0.543  0.206
Ac  0.380  0.744  0.647
Ac  0.594  0.861  0.055
Ac  0.880  0.756  0.353
Ac  0.406  0.139  0.945
Ru  0.271  0.376  0.920
Ru  0.229  0.876  0.920
Ac  0.573  0.457  0.794
Ac  0.906  0.361  0.055

Results
Its space-group type is No. 14. The density of states at the Fermi level comes out at 21.41 states/eV/cell. The value obtained for the total magnetization is 0.0 μB per cell. For the volume, the calculation gives 38.067 Å³/atom. The mass density is 8.1 g cm⁻³.

---

ii) VASP calculation (PBE-GGA) on crystalline Ac3PrRu at its relaxed geometry.

Lattice parameters (Å, degrees): 7.907 7.907 7.915 111.27 111.53 105.64
Atoms (fractional coordinates):
Ac  0.169  0.956  0.715
Ac  0.707  0.457  0.164
Ru  0.587  0.751  0.338
Ac  0.242  0.454  0.285
Ac  0.831  0.044  0.285
Pr  0.299  0.961  0.260
Ru  0.413  0.249  0.662
Ac  0.758  0.546  0.715
Ac  0.293  0.543  0.836
Pr  0.701  0.039  0.740

Results
Its space-group type is No. 12. The density of states at the Fermi level comes out at 9.59 states/eV/cell. The value obtained for the total magnetization is 0.0 μB per cell. For the volume, the calculation gives 37.992 Å³/atom. The mass density is 8.1 g cm⁻³.

---

ii) ends up most stable, edging out the next structure by 147 meV/atom.

---

i) VASP calculation (PBE-GGA) on crystalline AcPrZnRu at its relaxed geometry.

Lattice parameters (Å, degrees): 5.237 5.237 5.237 60.00 60.00 60.00
Atoms (fractional coordinates):
Zn  0.250  0.250  0.250
Ru  0.750  0.750  0.750
Ac  0.500  0.500  0.500
Pr  0.000  0.000  0.000

Results
Its space-group type is No. 216. The density of states at the Fermi level comes out at 4.17 states/eV/cell. The value obtained for the total magnetization is 0.0 μB per cell. For the volume, the calculation gives 25.390 Å³/atom. The mass density is 8.7 g cm⁻³.

---

ii) VASP calculation (PBE-GGA) on crystalline AcPrZnRu at its relaxed geometry.

Lattice parameters (Å, degrees): 4.270 4.536 5.866 90.00 111.34 90.00
Atoms (fractional coordinates):
Pr  0.863  0.500  0.726
Ru  0.431  0.000  0.862
Zn  0.562  0.500  0.124
Ac  0.144  0.000  0.289

Results
Its space-group type is No. 38. The density of states at the Fermi level comes out at 4.06 states/eV/cell. The value obtained for the total magnetization is 0.0 μB per cell. For the volume, the calculation gives 26.456 Å³/atom. The mass density is 8.4 g cm⁻³.

---

ii) ends up most stable, edging out the next structure by 55 meV/atom.

---

i) VASP calculation (PBE-GGA) on crystalline AcPrS2 at its relaxed geometry.

Lattice parameters (Å, degrees): 4.259 4.259 9.119 76.50 76.50 60.00
Atoms (fractional coordinates):
S  0.890  0.890  0.330
S  0.110  0.110  0.670
Ac  0.000  0.000  0.000
Pr  0.500  0.500  0.500

Results
Its space-group type is No. 166. The density of states at the Fermi level comes out at 2.67 states/eV/cell. The value obtained for the total magnetization is 0.0 μB per cell. For the volume, the calculation gives 34.484 Å³/atom. The mass density is 5.2 g cm⁻³.

---

ii) VASP calculation (PBE-GGA) on crystalline AcPrS2 at its relaxed geometry.

Lattice parameters (Å, degrees): 4.218 4.206 7.274 106.90 90.00 120.09
Atoms (fractional coordinates):
Pr  0.000  0.500  0.500
S  0.254  0.008  0.262
Ac  0.500  0.500  0.000
S  0.746  0.992  0.738

Results
Its space-group type is No. 12. The density of states at the Fermi level comes out at 1.53 states/eV/cell. The value obtained for the total magnetization is 0.0 μB per cell. For the volume, the calculation gives 26.287 Å³/atom. The mass density is 6.8 g cm⁻³.

---

iii) VASP calculation (PBE-GGA) on crystalline AcPrS2 at its relaxed geometry.

Lattice parameters (Å, degrees): 4.118 4.118 7.671 74.43 74.43 60.00
Atoms (fractional coordinates):
Ac  0.495  0.495  0.515
Pr  0.672  0.672  0.983
S  0.255  0.255  0.236
S  0.078  0.078  0.766

Results
Its space-group type is No. 160. The density of states at the Fermi level comes out at 0.90 states/eV/cell. The value obtained for the total magnetization is 0.0 μB per cell. For the volume, the calculation gives 26.775 Å³/atom. The mass density is 6.7 g cm⁻³.

---

iv) VASP calculation (PBE-GGA) on crystalline AcPrS2 at its relaxed geometry.

Lattice parameters (Å, degrees): 4.176 4.176 14.012 90.00 90.00 120.00
Atoms (fractional coordinates):
S  0.333  0.667  0.382
Ac  0.667  0.333  0.250
Pr  0.000  0.000  0.000
S  0.667  0.333  0.618
Ac  0.333  0.667  0.750
Pr  0.000  0.000  0.500
S  0.333  0.667  0.118
S  0.667  0.333  0.882

Results
Its space-group type is No. 194. The density of states at the Fermi level comes out at 3.15 states/eV/cell. The value obtained for the total magnetization is 0.0 μB per cell. For the volume, the calculation gives 26.448 Å³/atom. The mass density is 6.8 g cm⁻³.

---

ii) ends up most stable, edging out the next structure by 23 meV/atom.

---

i) VASP calculation (PBE-GGA) on crystalline Ac3PrS4 at its relaxed geometry.

Lattice parameters (Å, degrees): 7.392 7.396 8.461 90.00 90.00 109.35
Atoms (fractional coordinates):
Ac  0.250  0.500  0.373
Ac  0.750  0.500  0.627
S  0.496  0.246  0.371
S  0.000  0.758  0.879
Ac  0.750  0.500  0.124
S  0.500  0.242  0.879
Ac  0.750  0.000  0.373
S  0.500  0.758  0.121
S  0.996  0.246  0.629
Ac  0.250  0.000  0.627
S  0.004  0.754  0.371
S  0.504  0.754  0.629
Pr  0.750  0.000  0.877
Ac  0.250  0.500  0.876
Pr  0.250  0.000  0.123
S  0.000  0.242  0.121

Results
Its space-group type is No. 13. The density of states at the Fermi level comes out at 7.22 states/eV/cell. The value obtained for the total magnetization is 0.0 μB per cell. For the volume, the calculation gives 27.279 Å³/atom. The mass density is 7.2 g cm⁻³.

---

ii) VASP calculation (PBE-GGA) on crystalline Ac3PrS4 at its relaxed geometry.

Lattice parameters (Å, degrees): 6.028 6.028 6.028 90.00 90.00 90.00
Atoms (fractional coordinates):
Pr  0.000  0.000  0.000
S  0.500  0.500  0.500
S  0.500  0.000  0.000
S  0.000  0.000  0.500
Ac  0.000  0.500  0.500
Ac  0.500  0.500  0.000
S  0.000  0.500  0.000
Ac  0.500  0.000  0.500

Results
Its space-group type is No. 221. The density of states at the Fermi level comes out at 5.04 states/eV/cell. The value obtained for the total magnetization is 0.0 μB per cell. For the volume, the calculation gives 27.383 Å³/atom. The mass density is 7.2 g cm⁻³.

---

i) ends up most stable, edging out the next structure by 20 meV/atom.

---

i) VASP calculation (PBE-GGA) on crystalline AcPrSb at its relaxed geometry.

Lattice parameters (Å, degrees): 4.246 4.246 6.445 109.23 109.23 90.00
Last column: magnetic moment on the atom in μB.
Atoms (fractional coordinates):
Sb  0.631  0.631  0.263  0.00
Ac  0.961  0.961  0.922  0.06
Pr  0.257  0.257  0.515  0.08

Results
Its space-group type is No. 107. The density of states at the Fermi level comes out at 3.82 states/eV/cell. The value obtained for the total magnetization is 0.4 μB per cell. For the volume, the calculation gives 34.262 Å³/atom. The mass density is 7.9 g cm⁻³.

---

ii) VASP calculation (PBE-GGA) on crystalline AcPrSb at its relaxed geometry.

Lattice parameters (Å, degrees): 4.438 5.343 5.343 120.00 90.00 90.00
Atoms (fractional coordinates):
Ac  0.025  0.000  0.000
Sb  0.436  0.667  0.333
Pr  0.539  0.333  0.667

Results
Its space-group type is No. 156. The density of states at the Fermi level comes out at 3.41 states/eV/cell. The value obtained for the total magnetization is 0.0 μB per cell. For the volume, the calculation gives 36.571 Å³/atom. The mass density is 7.4 g cm⁻³.

---

i) ends up most stable, edging out the next structure by 173 meV/atom.